Entry 1
VASP calculation (GGA-PBE) on CePd2Au after structural relaxation.

The structure belongs to space group P4/mmm (No. 123); the cell edges are 4.3167, 4.3167 and 4.1432 Å and the angles 90.00°, 90.00° and 90.00°. The asymmetric unit holds Ce at (0.0000, 0.0000, 0.0000), Pd at (0.0000, 0.5000, 0.5000) and Au at (0.5000, 0.5000, 0.0000).

As for the magnetization: 0.81 μB per cell.


Entry 2
VASP calculation (GGA-PBE) on CePd2Au after structural relaxation.

The structure belongs to space group C2/m (No. 12); the cell edges are 9.8978, 4.1298 and 8.3011 Å and the angles 90.00°, 115.43° and 90.00°. The asymmetric unit holds Ce at (0.0103, 0.0000, 0.2602), Pd at (0.0000, 0.5000, 0.0000), Pd at (0.0000, 0.5000, 0.5000), Pd at (0.2473, 0.0000, 0.6258) and Au at (0.2473, 0.5000, 0.8734).

As for the magnetization: 2.26 μB per cell.


entry 2 (0.044 eV/atom below the next structure)


Entry 1
VASP calculation (GGA-PBE) on CePd4Au2 after structural relaxation.

The structure belongs to space group Cmcm (No. 63); the cell edges are 4.8977, 7.8866 and 13.4134 Å and the angles 90.00°, 90.00° and 90.00°. The asymmetric unit holds Ce at (0.0000, 0.0593, 0.2500), Pd at (0.0000, 0.0000, 0.0000), Pd at (0.0000, 0.2699, 0.6463), Pd at (0.0000, 0.4133, 0.2500) and Au at (0.0000, 0.3420, 0.0552).

As for the magnetization: 1.83 μB per cell.


Entry 2
VASP calculation (GGA-PBE) on CePd4Au2 after structural relaxation.

The structure belongs to space group Cmmm (No. 65); the cell edges are 5.8715, 9.6394 and 4.7732 Å and the angles 90.00°, 90.00° and 90.00°. The asymmetric unit holds Ce at (0.0000, 0.0000, 0.0000), Pd at (0.2375, 0.5000, 0.5000), Pd at (0.2500, 0.2500, 0.0000) and Au at (0.0000, 0.2494, 0.5000).

As for the magnetization: 0.78 μB per cell.


entry 1 (0.019 eV/atom below the next structure)


Entry 1
VASP calculation (GGA-PBE) on CePdAu after structural relaxation.

The structure belongs to space group P-6m2 (No. 187); the cell edges are 4.7116, 4.7116 and 3.4142 Å and the angles 90.00°, 90.00° and 120.00°. The asymmetric unit holds Ce at (0.0000, 0.0000, 0.0000), Pd at (0.3333, 0.6667, 0.5000) and Au at (0.6667, 0.3333, 0.5000).

As for the magnetization: 1.08 μB per cell.


Entry 2
VASP calculation (GGA-PBE) on CePdAu after structural relaxation.

The structure belongs to space group Ama2 (No. 40); the cell edges are 5.2180, 5.3177 and 9.2200 Å and the angles 90.00°, 90.00° and 90.00°. The asymmetric unit holds Ce at (0.2500, 0.2225, 0.0000), Pd at (0.2500, 0.2009, 0.6632) and Au at (0.2500, 0.2105, 0.3284).

As for the magnetization: 2.74 μB per cell.


entry 1 (0.012 eV/atom below the next structure)


Entry 1
VASP calculation (GGA-PBE) on CePdAu after structural relaxation.

The structure belongs to space group P2_1/m (No. 11); the cell edges are 5.2221, 4.9714 and 5.4206 Å and the angles 90.00°, 118.06° and 90.00°. The asymmetric unit holds Ce at (0.0208, 0.2500, 0.2056), Pd at (0.3252, 0.7500, 0.4906) and Au at (0.3554, 0.2500, 0.8384).

As for the magnetization: 1.17 μB per cell.


Entry 2
VASP calculation (GGA-PBE) on CePdAu after structural relaxation.

The structure belongs to space group F-43m (No. 216); the cell edges are 6.6548, 6.6548 and 6.6548 Å and the angles 90.00°, 90.00° and 90.00°. The asymmetric unit holds Ce at (0.0000, 0.0000, 0.0000), Pd at (0.2500, 0.2500, 0.7500) and Au at (0.0000, 0.0000, 0.5000).

As for the magnetization: 4.14 μB per cell.


Entry 3
VASP calculation (GGA-PBE) on CePdAu after structural relaxation.

The structure belongs to space group P6_3/mmc (No. 194); the cell edges are 4.7178, 4.7178 and 6.7884 Å and the angles 90.00°, 90.00° and 120.00°. The asymmetric unit holds Ce at (0.0000, 0.0000, 0.0000), Pd at (0.3333, 0.6667, 0.2500) and Au at (0.3333, 0.6667, 0.7500).

As for the magnetization: 2.11 μB per cell.


entry 3 (0.019 eV/atom below the next structure)